No. 1
# KEuAl4

A relaxed structure of KEuAl4 (PBE-GGA, Alexandria).

Output
Crystal system: cubic
DOS(E_F) (states/eV/atom): 1.34

Cell: 5.8173 5.8173 5.8173 Å, 60.00 60.00 60.00°
Atoms (fractional coordinates):
Al1 0.6257 0.6257 0.6257
Al2 0.6257 0.1230 0.6257
Al3 0.1230 0.6257 0.6257
Al4 0.6257 0.6257 0.1230
K1 0.2500 0.2500 0.2500
Eu1 0.0000 0.0000 0.0000

---

No. 2
# KEu2Al

A relaxed structure of KEu2Al (PBE-GGA, Alexandria).

Output
Crystal system: tetragonal
DOS(E_F) (states/eV/atom): 4.49

Cell: 3.8865 3.8865 10.6907 Å, 90.00 90.00 90.00°
Atoms (fractional coordinates):
Al1 0.5000 0.5000 0.0000
Eu1 0.0000 0.0000 0.1664
Eu2 0.0000 0.0000 0.8336
K1 0.5000 0.5000 0.5000

---

No. 3
# LaEu2Al

A relaxed structure of LaEu2Al (PBE-GGA, Alexandria).

Output
Crystal system: tetragonal
Energy relative to the lowest polymorph listed for this composition (meV per atom): 22
DOS(E_F) (states/eV/atom): 1.19

Cell: 3.7794 3.7794 9.2170 Å, 90.00 90.00 90.00°
Atoms (fractional coordinates):
La1 0.5000 0.5000 0.5000
Al1 0.5000 0.5000 0.0000
Eu1 0.0000 0.0000 0.8006
Eu2 0.0000 0.0000 0.1994

---

No. 4
# LaEuAl4

A relaxed structure of LaEuAl4 (PBE-GGA, Alexandria).

Output
Crystal system: cubic
DOS(E_F) (states/eV/atom): 0.40

Cell: 5.7228 5.7228 5.7228 Å, 60.00 60.00 60.00°
Atoms (fractional coordinates):
Al1 0.6250 0.6250 0.1250
Al2 0.6250 0.6250 0.6250
Al3 0.6250 0.1250 0.6250
Al4 0.1250 0.6250 0.6250
La1 0.0000 0.0000 0.0000
Eu1 0.2500 0.2500 0.2500

---

No. 5
# LaEuAl2

A relaxed structure of LaEuAl2 (PBE-GGA, Alexandria).

Output
Crystal system: cubic
Energy relative to the lowest polymorph listed for this composition (meV per atom): 3
DOS(E_F) (states/eV/atom): 1.83

Cell: 5.3586 5.3586 5.3586 Å, 60.00 60.00 60.00°
Atoms (fractional coordinates):
Al1 0.7500 0.7500 0.7500
Al2 0.2500 0.2500 0.2500
Eu1 0.0000 0.0000 0.0000
La1 0.5000 0.5000 0.5000

---

No. 6
# LaEuAl2

A relaxed structure of LaEuAl2 (PBE-GGA, Alexandria).

Output
Crystal system: tetragonal
Energy relative to the lowest polymorph listed for this composition (meV per atom): 0
DOS(E_F) (states/eV/atom): 1.56

Cell: 3.7859 3.7859 7.6054 Å, 90.00 90.00 90.00°
Atoms (fractional coordinates):
Eu1 0.5000 0.5000 0.0000
Al1 0.0000 0.0000 0.2466
Al2 0.0000 0.0000 0.7534
La1 0.5000 0.5000 0.5000

---

No. 7
# LaEu2Al

A relaxed structure of LaEu2Al (PBE-GGA, Alexandria).

Output
Crystal system: cubic
Energy relative to the lowest polymorph listed for this composition (meV per atom): 102
DOS(E_F) (states/eV/atom): 1.00

Cell: 5.5667 5.5667 5.5671 Å, 60.00 60.00 60.00°
Atoms (fractional coordinates):
Eu1 0.7501 0.7501 0.7498
Eu2 0.2499 0.2499 0.2502
Al1 0.5000 0.5000 0.5000
La1 0.0000 0.0000 0.0000

---

No. 8
# LaEu2Al

A relaxed structure of LaEu2Al (PBE-GGA, Alexandria).

Output
Crystal system: tetragonal
Energy relative to the lowest polymorph listed for this composition (meV per atom): 0
DOS(E_F) (states/eV/atom): 0.93

Cell: 5.1938 4.9234 4.9234 Å, 90.00 90.00 90.00°
Atoms (fractional coordinates):
Eu1 0.0000 0.5000 0.0000
Eu2 0.0000 0.0000 0.5000
Al1 0.5000 0.0000 0.0000
La1 0.5000 0.5000 0.5000

---

How do the records compare in energy? In the order shown, they have -26.88 -25.53 -29.48 -32.91 -23.78 -23.80 -29.16 -29.57 eV per cell.
How do the records compare in calculated formation energy? In the order shown, they have -0.089 -0.036 -0.065 -0.456 -0.274 -0.277 0.014 -0.087 eV per atom.